A plane-wave DFT calculation with GGA-PBE was carried out for a relaxed structure of SmHo5.

Lattice parameters (Å, degrees): 6.1290 7.0872 10.6027 90.00 90.00 125.31
Last column: nearest neighbours and their distance in Å.
Fractional coordinates of all 12 atoms:
Sm 0.7500 0.4996 0.2500  12 Ho 3.53-3.54
Sm 0.2500 0.5004 0.7500  12 Ho 3.53-3.54
Ho 0.7500 0.9995 0.2500  10 Ho 3.53-3.54, 2 Sm 3.54
Ho 0.2500 0.0005 0.7500  10 Ho 3.53-3.54, 2 Sm 3.54
Ho 0.2500 0.9998 0.4170  10 Ho 3.53-3.54, 2 Sm 3.54
Ho 0.7500 0.0002 0.9170  10 Ho 3.53-3.54, 2 Sm 3.54
Ho 0.7500 0.0002 0.5830  10 Ho 3.53-3.54, 2 Sm 3.54
Ho 0.2500 0.9998 0.0830  10 Ho 3.53-3.54, 2 Sm 3.54
Ho 0.2500 0.4998 0.4170  3 Sm 3.53-3.54, 9 Ho 3.53-3.54
Ho 0.7500 0.5002 0.9170  3 Sm 3.53-3.54, 9 Ho 3.53-3.54
Ho 0.7500 0.5002 0.5830  3 Sm 3.53-3.54, 9 Ho 3.53-3.54
Ho 0.2500 0.4998 0.0830  3 Sm 3.53-3.54, 9 Ho 3.53-3.54

## Properties
For the formation energy from the elements, the calculation gives 0.019 eV/atom. As for the space-group type: No. 11. Its total energy is -4.5822 eV/atom. Its density is 8.62 Mg/m³.


A plane-wave DFT calculation with GGA-PBE was carried out for a relaxed structure of Cs2AcHgBr6.

Lattice parameters (Å, degrees): 8.6115 8.6115 8.6116 60.00 60.00 90.00
Last column: nearest neighbours and their distance in Å.
Fractional coordinates of all 10 atoms:
Cs 0.2500 0.7500 0.5000  12 Br 4.31
Cs 0.7500 0.2500 0.5000  12 Br 4.31
Ac 0.5000 0.5000 0.0000  6 Br 3.01
Hg 0.0000 0.0000 0.0000  6 Br 3.08
Br 0.2528 0.7472 0.0000  1 Ac 3.01, 1 Hg 3.08
Br 0.7472 0.7472 0.0000  1 Ac 3.01, 1 Hg 3.08
Br 0.2528 0.2528 0.4944  1 Ac 3.01, 1 Hg 3.08
Br 0.7472 0.2528 0.0000  1 Ac 3.01, 1 Hg 3.08
Br 0.2528 0.2528 0.0000  1 Ac 3.01, 1 Hg 3.08
Br 0.7472 0.7472 0.5056  1 Ac 3.01, 1 Hg 3.08

## Properties
As for the space-group type: No. 225. Its total energy is -3.1425 eV/atom. Its density is 4.31 Mg/m³. The formation energy from raw total energies is -1473 kJ/mol of formula units.


A plane-wave DFT calculation with GGA-PBE was carried out for a relaxed structure of Li2AgGe.

Lattice parameters (Å, degrees): 2.9809 6.4271 4.6899 123.18 90.05 116.93
Last column: nearest neighbours and their distance in Å.
Fractional coordinates of all 4 atoms:
Li 0.0840 0.4912 0.9967  4 Ge 2.75-2.79, 4 Ag 2.78, 4 Li 2.86-2.98
Li 0.5834 0.9904 0.9979  4 Ag 2.75-2.79, 4 Ge 2.78, 4 Li 2.86-2.98
Ag 0.5831 0.4904 0.4958  8 Li 2.75-2.79, 2 Ge 2.86-2.87, 2 Ag 2.98
Ge 0.0841 0.9913 0.4986  8 Li 2.75-2.79, 2 Ag 2.86-2.87, 2 Ge 2.98

## Properties
For the formation energy from the elements, the calculation gives -0.253 eV/atom. As for the space-group type: No. 1. Its total energy is -3.0773 eV/atom. Its density is 5.11 Mg/m³.


A plane-wave DFT calculation with GGA-PBE was carried out for a relaxed structure of TbPm2InC.

Lattice parameters (Å, degrees): 4.9602 5.0886 5.0886 90.00 90.00 90.00
Last column: nearest neighbours and their distance in Å.
Fractional coordinates of all 5 atoms:
Tb 0.5000 0.0000 0.0000  2 C 2.48
Pm 0.0000 0.0000 0.5000  2 C 2.54
Pm 0.0000 0.5000 0.0000  2 C 2.54
In 0.5000 0.5000 0.5000  8 Pm 3.55, 4 Tb 3.60
C 0.0000 0.0000 0.0000  2 Tb 2.48, 4 Pm 2.54

## Properties
For the formation energy from the elements, the calculation gives -0.395 eV/atom. As for the space-group type: No. 123. Its total energy is -5.6141 eV/atom. Its density is 7.44 Mg/m³.


The highest density belongs to which entry? SmHo5